1.
Compound: TcPt
Source: the Alexandria database
Functional: PBEsol
Structure: relaxed

a b c (Å): 4.2514 4.2514 11.8243
angles (deg): 90.00 90.00 120.00
Space group R-3m (No. 166, hexagonal axes)
Asymmetric unit:
Tc 0.0000 0.0000 0.1646 [6 per cell]
Pt 0.0000 0.0000 0.3873 [6 per cell]

Values from the calculation:
Energy relative to the elements   0.16 eV per atom
ρ   15.78 g/cm3
E_tot   -8.96 eV per atom
Polymorph energy (0 for the lowest one)   324 meV per atom

***

2.
Compound: Tc5Pt4
Source: the Alexandria database
Functional: PBEsol
Structure: relaxed

a b c (Å): 8.165 8.165 3.857
angles (deg): 90.00 90.00 90.00
Space group I4/mmm (No. 139)
Asymmetric unit:
Tc 0.000 0.000 0.000 [2 per cell]
Tc 0.160 0.160 0.500 [8 per cell]
Pt 0.000 0.326 0.000 [8 per cell]

Values from the calculation:
Energy relative to the elements   -0.21 eV per atom
ρ   16.41 g/cm3
E_tot   -9.57 eV per atom

***

3.
Compound: Tc2Pt
Source: the Alexandria database
Functional: PBEsol
Structure: relaxed

a b c (Å): 9.985 2.709 6.477
angles (deg): 90.00 104.03 90.00
Space group C2/m (No. 12)
Asymmetric unit:
Tc 0.145 0.000 0.024 [4 per cell]
Tc 0.195 0.000 0.646 [4 per cell]
Pt 0.030 0.500 0.303 [4 per cell]

Values from the calculation:
Energy relative to the elements   -0.17 eV per atom
ρ   15.28 g/cm3
E_tot   -10.01 eV per atom
Polymorph energy (0 for the lowest one)   19 meV per atom

***

4.
Compound: TcPt2
Source: the Alexandria database
Functional: PBEsol
Structure: relaxed

a b c (Å): 8.213 4.745 4.475
angles (deg): 90.00 90.00 90.00
Space group Cmcm (No. 63)
Asymmetric unit:
Tc 0.000 0.165 0.250 [4 per cell]
Pt 0.163 0.325 0.750 [8 per cell]

Values from the calculation:
Energy relative to the elements   -0.15 eV per atom
ρ   18.60 g/cm3
E_tot   -8.55 eV per atom
Polymorph energy (0 for the lowest one)   54 meV per atom

***

5.
Compound: Tc2Pt
Source: the Alexandria database
Functional: PBEsol
Structure: relaxed

a b c (Å): 2.665 3.907 8.182
angles (deg): 90.00 90.00 90.00
Space group Immm (No. 71)
Asymmetric unit:
Tc 0.000 0.000 0.172 [4 per cell]
Pt 0.000 0.000 0.500 [2 per cell]

Values from the calculation:
Energy relative to the elements   -0.12 eV per atom
ρ   15.24 g/cm3
E_tot   -9.95 eV per atom
Polymorph energy (0 for the lowest one)   78 meV per atom

***

6.
Compound: TcPt3
Source: the Alexandria database
Functional: PBEsol
Structure: relaxed

a b c (Å): 9.090 2.729 4.778
angles (deg): 90.00 99.64 90.00
Space group C2/m (No. 12)
Asymmetric unit:
Tc 0.000 0.000 0.000 [2 per cell]
Pt 0.000 0.500 0.500 [2 per cell]
Pt 0.247 0.500 0.242 [4 per cell]

Values from the calculation:
Energy relative to the elements   -0.12 eV per atom
ρ   19.42 g/cm3
E_tot   -8.16 eV per atom

***

7.
Compound: TcPt
Source: the Alexandria database
Functional: PBEsol
Structure: relaxed

a b c (Å): 2.718 2.718 7.791
angles (deg): 90.00 90.00 90.00
Space group P4/nmm (No. 129, origin choice 2)
Asymmetric unit:
Tc 0.250 0.250 0.115 [2 per cell]
Pt 0.250 0.250 0.634 [2 per cell]

Values from the calculation:
Energy relative to the elements   -0.16 eV per atom
ρ   16.91 g/cm3
E_tot   -9.27 eV per atom
Polymorph energy (0 for the lowest one)   9 meV per atom

***

8.
Compound: Tc3Pt
Source: the Alexandria database
Functional: PBEsol
Structure: relaxed

a b c (Å): 3.854 3.854 7.592
angles (deg): 90.00 90.00 90.00
Space group I4/mmm (No. 139)
Asymmetric unit:
Tc 0.000 0.000 0.000 [2 per cell]
Tc 0.000 0.500 0.250 [4 per cell]
Pt 0.000 0.000 0.500 [2 per cell]

Values from the calculation:
Energy relative to the elements   -0.11 eV per atom
ρ   14.40 g/cm3
E_tot   -10.30 eV per atom
Polymorph energy (0 for the lowest one)   131 meV per atom